Entry 1:
The following is a DFT calculation (PBE) of a geometry-optimized ReNi8Pt2 structure.

Values from the calculation:
The formation energy is 0.147 eV/atom.

Lattice parameters (Å, degrees): 4.0833 4.7670 7.5322 108.34 92.62 90.06
Last column: nearest neighbours and their distance in Å.
Space group P-1 (No. 2)
Symmetry-distinct sites (fractional):
Re: 0.0000 0.0000 0.0000 [1 per cell]  10 Ni 2.40-2.65
Ni: 0.2456 0.1572 0.3150 [2 per cell]  4 Ni 2.41-2.49, 1 Re 2.42, 4 Pt 2.56-2.68
Ni: 0.2469 0.5440 0.0887 [2 per cell]  6 Ni 2.33-2.60, 1 Pt 2.55
Ni: 0.2721 0.1401 0.7643 [2 per cell]  5 Ni 2.31-2.49, 1 Re 2.40
Ni: 0.2721 0.6260 0.7653 [2 per cell]  5 Ni 2.31-2.49, 1 Re 2.40, 1 Pt 2.59
Pt: 0.2286 0.7218 0.4450 [2 per cell]  11 Ni 2.55-2.84

***

Entry 2:
The following is a DFT calculation (PBE) of a geometry-optimized Ce2PbAu6 structure.

Values from the calculation:
The formation energy is -0.450 eV/atom.

Lattice parameters (Å, degrees): 8.3330 8.3330 3.4763 90.00 90.00 120.00
Last column: nearest neighbours and their distance in Å.
Space group P6/mmm (No. 191)
Symmetry-distinct sites (fractional):
Ce: 0.3333 0.6667 0.0000 [2 per cell]  12 Au 3.27, 2 Ce 3.48
Pb: 0.0000 0.0000 0.0000 [1 per cell]  12 Au 3.29, 2 Pb 3.48
Au: 0.0000 0.3345 0.5000 [6 per cell]  3 Au 2.76-2.79